Record 1
CeIn2Bi (PBE-GGA, relaxed); formation energy from the elements = 155.7 meV per atom; energy = -3.667 eV/atom
1.0
3.402 0.000 0.000
1.701 2.946 0.000
1.701 0.982 12.203
In Bi Ce
2 1 1
direct
0.088 0.088 0.735 In
0.912 0.912 0.265 In
0.500 0.500 0.500 Bi
0.000 0.000 0.000 Ce

---

Record 2
Fe2SiSe (PBE-GGA, relaxed); energy = -6.089 eV/atom; distance to the lowest polymorph of the same formula = 407 meV per atom
1.0
-1.164 0.632 -4.988
-3.958 -3.273 0.509
-5.661 2.619 -1.017
Fe Se Si
4 2 2
direct
0.131 0.625 0.250 Fe
0.375 0.381 0.750 Fe
0.619 0.125 0.250 Fe
0.875 0.869 0.750 Fe
0.750 0.250 0.500 Se
0.000 0.000 0.000 Se
0.500 0.500 0.000 Si
0.250 0.750 0.500 Si

---

no.,ρ (kg/m³)
1,7859
2,5287